# 1
Material: Cs2ZnO2
Method: DFT, PBE
State: optimized geometry

## Properties
* crystal system: monoclinic
* energy: -3.84 eV per atom

Cell lengths 9.855, 6.614, 16.359 Å; angles 90.00, 117.54, 90.00 degrees
Element x y z (fractional)
Zn: 0.415 0.056 0.040
Zn: 0.756 0.865 0.872
Zn: 0.244 0.135 0.128
Zn: 0.415 0.444 0.540
Zn: 0.244 0.365 0.628
Zn: 0.585 0.556 0.460
Zn: 0.585 0.944 0.960
Zn: 0.756 0.635 0.372
Cs: 0.680 0.090 0.260
Cs: 0.143 0.825 0.476
Cs: 0.928 0.860 0.162
Cs: 0.928 0.640 0.662
Cs: 0.072 0.140 0.838
Cs: 0.427 0.426 0.879
Cs: 0.857 0.175 0.524
Cs: 0.072 0.360 0.338
Cs: 0.573 0.574 0.121
Cs: 0.857 0.325 0.024
Cs: 0.680 0.410 0.760
Cs: 0.320 0.910 0.740
Cs: 0.143 0.675 0.976
Cs: 0.320 0.590 0.240
Cs: 0.573 0.926 0.621
Cs: 0.427 0.074 0.379
O: 0.367 0.877 0.930
O: 0.382 0.912 0.141
O: 0.618 0.412 0.359
O: 0.382 0.588 0.641
O: 0.731 0.720 0.969
O: 0.860 0.695 0.305
O: 0.618 0.088 0.859
O: 0.367 0.623 0.430
O: 0.269 0.280 0.031
O: 0.633 0.123 0.070
O: 0.140 0.195 0.195
O: 0.633 0.377 0.570
O: 0.860 0.805 0.805
O: 0.140 0.305 0.695
O: 0.731 0.780 0.469
O: 0.269 0.220 0.531



# 2
Material: AcSmPu
Method: DFT, PBE
State: optimized geometry

## Properties
* crystal system: cubic
* magnetization: 6.468 μB per formula unit
* energy of formation: 748 meV/atom
* energy: -6.90 eV per atom

Cell lengths 5.496, 5.496, 5.496 Å; angles 60.00, 60.00, 60.00 degrees
Element x y z (fractional)
Sm: 0.250 0.250 0.250
Pu: 0.000 0.000 0.000
Ac: 0.750 0.750 0.750



# 3
Material: TbPr2Si4Ag4
Method: DFT, PBE
State: optimized geometry

## Properties
* crystal system: orthorhombic
* magnetization: 0.004 μB per formula unit
* energy: -4.76 eV per atom

Cell lengths 13.177, 13.177, 13.177 Å; angles 161.77, 161.27, 26.25 degrees
Element x y z (fractional)
Pr: 0.647 0.147 0.500
Pr: 0.353 0.853 0.500
Si: 0.455 0.455 0.000
Si: 0.810 0.310 0.500
Si: 0.190 0.690 0.500
Si: 0.545 0.545 0.000
Ag: 0.907 0.407 0.500
Ag: 0.749 0.749 0.000
Ag: 0.093 0.593 0.500
Ag: 0.251 0.251 0.000
Tb: 0.000 0.000 0.000



# 4
Material: Cu3Ag
Method: DFT, PBE
State: optimized geometry

## Properties
* crystal system: monoclinic
* energy of formation: 68 meV/atom
* energy: -3.43 eV per atom

Cell lengths 4.595, 4.595, 9.187 Å; angles 101.70, 101.70, 34.45 degrees
Element x y z (fractional)
Ag: 0.116 0.116 0.923
Ag: 0.884 0.884 0.077
Cu: 0.642 0.642 0.213
Cu: 0.358 0.358 0.787
Cu: 0.129 0.129 0.441
Cu: 0.614 0.614 0.667
Cu: 0.386 0.386 0.333
Cu: 0.871 0.871 0.559



# 5
Material: CsKCuP
Method: DFT, PBE
State: optimized geometry

## Properties
* crystal system: monoclinic
* energy: -3.06 eV per atom

Cell lengths 6.320, 5.964, 6.630 Å; angles 90.00, 108.43, 90.00 degrees
Element x y z (fractional)
K: 0.819 0.250 0.999
K: 0.181 0.750 0.001
P: 0.803 0.750 0.259
P: 0.197 0.250 0.741
Cs: 0.536 0.750 0.685
Cs: 0.464 0.250 0.315
Cu: 0.000 0.500 0.500
Cu: 0.000 0.000 0.500



# 6
Material: CuHgIrW
Method: DFT, PBE
State: optimized geometry

## Properties
* crystal system: cubic
* magnetization: 0.026 μB per formula unit
* energy of formation: 731 meV/atom
* energy: -5.73 eV per atom

Cell lengths 4.450, 4.450, 4.450 Å; angles 60.00, 60.00, 60.00 degrees
Element x y z (fractional)
Ir: 0.000 0.000 0.000
Cu: 0.750 0.750 0.750
W: 0.500 0.500 0.500
Hg: 0.250 0.250 0.250



# 7
Material: Zr4BiN3
Method: DFT, PBE
State: optimized geometry

## Properties
* crystal system: hexagonal
* magnetization: 0.003 μB per formula unit
* energy: -9.18 eV per atom

Cell lengths 3.318, 3.318, 25.257 Å; angles 90.00, 90.00, 120.00 degrees
Element x y z (fractional)
N: 0.333 0.667 0.897
N: 0.000 0.000 0.500
N: 0.667 0.333 0.397
N: 0.667 0.333 0.103
N: 0.333 0.667 0.603
N: 0.000 0.000 0.000
Zr: 0.000 0.000 0.847
Zr: 0.000 0.000 0.653
Zr: 0.333 0.667 0.053
Zr: 0.333 0.667 0.447
Zr: 0.667 0.333 0.553
Zr: 0.000 0.000 0.347
Zr: 0.667 0.333 0.947
Zr: 0.000 0.000 0.153
Bi: 0.333 0.667 0.250
Bi: 0.667 0.333 0.750



# 8
Material: B4MoAu
Method: DFT, PBE
State: optimized geometry

## Properties
* crystal system: hexagonal
* magnetization: 0.006 μB per formula unit
* energy: -6.67 eV per atom

Cell lengths 2.970, 2.970, 8.155 Å; angles 90.00, 90.00, 120.00 degrees
Element x y z (fractional)
Mo: 0.000 0.000 0.500
B: 0.667 0.333 0.703
B: 0.333 0.667 0.703
B: 0.333 0.667 0.297
B: 0.667 0.333 0.297
Au: 0.000 0.000 0.000



# 9
Material: SiOsPd2
Method: DFT, PBE
State: optimized geometry

## Properties
* crystal system: cubic
* magnetization: 0.014 μB per formula unit
* energy: -6.76 eV per atom

Cell lengths 4.317, 4.317, 4.317 Å; angles 60.00, 60.00, 60.00 degrees
Element x y z (fractional)
Si: 0.500 0.500 0.500
Os: 0.250 0.250 0.250
Pd: 0.750 0.750 0.750
Pd: 0.000 0.000 0.000



# 10
Material: NbZnCd
Method: DFT, PBE
State: optimized geometry

## Properties
* crystal system: cubic
* magnetization: 0.032 μB per formula unit
* energy of formation: 801 meV/atom
* energy: -3.28 eV per atom

Cell lengths 4.494, 4.494, 4.494 Å; angles 60.00, 60.00, 60.00 degrees
Element x y z (fractional)
Zn: 0.750 0.750 0.750
Nb: 0.000 0.000 0.000
Cd: 0.250 0.250 0.250



# 11
Material: HfZrCoSn
Method: DFT, PBE
State: optimized geometry

## Properties
* crystal system: cubic
* magnetization: 2.997 μB per formula unit
* energy: -7.33 eV per atom

Cell lengths 4.730, 4.730, 4.730 Å; angles 60.00, 60.00, 60.00 degrees
Element x y z (fractional)
Zr: 0.250 0.250 0.250
Sn: 0.000 0.000 0.000
Co: 0.750 0.750 0.750
Hf: 0.500 0.500 0.500



# 12
Material: SmGdH4
Method: DFT, PBE
State: optimized geometry

## Properties
* crystal system: tetragonal
* magnetization: 0.002 μB per formula unit
* energy: -4.48 eV per atom

Cell lengths 3.745, 3.745, 5.297 Å; angles 90.00, 90.00, 90.00 degrees
Element x y z (fractional)
H: 0.500 0.000 0.744
H: 0.000 0.500 0.256
H: 0.000 0.500 0.744
H: 0.500 0.000 0.256
Sm: 0.500 0.500 0.000
Gd: 0.000 0.000 0.500